A geometry-optimized AlRuNF2 structure, computed with PBE.

Summary:
ΔE_f (raw)	-2.22	eV/f.u.
final energy	-27.31	eV for the cell shown
crystal system	tetragonal

Cell lengths 4.330, 4.330, 3.738 Å; angles 90.00, 90.00, 90.00 degrees
Space group P4/mmm (No. 123)
Unique sites:
1 Al 0.000 0.000 0.000 (multiplicity 1)
2 Ru 0.500 0.500 0.500 (multiplicity 1)
3 N 0.500 0.500 0.000 (multiplicity 1)
4 F 0.000 0.500 0.500 (multiplicity 2)